# Pr6Tl2H

A relaxed structure of Pr6Tl2H (PBE, the Alexandria database).

Properties
final energy: -0.3137 Ry/atom

Cell lengths 6.548, 8.302, 10.104 Å; angles 90.00, 90.48, 90.00 degrees
Fractional coordinates of all 18 atoms:
Pr (0.880, 0.974, 0.245)
Pr (0.882, 0.707, 0.542)
Pr (0.881, 0.674, 0.959)
Pr (0.619, 0.174, 0.541)
Pr (0.618, 0.207, 0.958)
Pr (0.620, 0.474, 0.255)
Pr (0.120, 0.026, 0.755)
Pr (0.118, 0.293, 0.458)
Pr (0.119, 0.326, 0.041)
Pr (0.381, 0.826, 0.459)
Pr (0.382, 0.793, 0.042)
Pr (0.380, 0.526, 0.745)
Tl (0.901, 0.387, 0.739)
Tl (0.599, 0.887, 0.761)
Tl (0.401, 0.113, 0.239)
Tl (0.099, 0.613, 0.261)
H (0.500, 0.500, 0.000)
H (0.000, 0.000, 0.500)

---

# Pr5Tl4H

A relaxed structure of Pr5Tl4H (PBE, the Alexandria database).

Properties
final energy: -0.2852 Ry/atom

Cell lengths 5.993, 7.572, 7.572 Å; angles 80.99, 66.69, 66.69 degrees
Fractional coordinates of all 10 atoms:
Pr (0.865, 0.347, 0.907)
Pr (0.212, 0.907, 0.653)
Pr (0.772, 0.093, 0.347)
Pr (0.119, 0.653, 0.093)
Pr (0.489, 0.000, 0.000)
Tl (0.451, 0.385, 0.702)
Tl (0.836, 0.702, 0.615)
Tl (0.153, 0.298, 0.385)
Tl (0.537, 0.615, 0.298)
H (0.077, 0.000, 0.000)